Material: CaTaRe
Method: DFT, GGA-PBE
State: optimized geometry

```
CaTaRe
1.0
-2.101 -5.854 0.896
0.222 -5.406 -3.194
2.961 5.071 2.236
Ta Ca Re
1 1 1
direct
0.706 0.706 0.000
0.989 0.989 0.000
0.305 0.305 0.000
```

Calculated values
For the energy above the lowest structure with this stoichiometry, the calculation gives 0.0 meV per atom. The value obtained for the electronic total energy is -8.47 eV per atom. The value obtained for the size of the total moment is 0.0 Bohr magnetons per cell.